VPRu2: relaxed, PBE.

Lattice parameters (Å, degrees): 5.3870 5.3870 6.3812 65.03 65.03 90.00
Element x y z (fractional)
Ru: 0.6103 0.1250 0.2500
Ru: 0.8750 0.8603 0.7500
Ru: 0.1397 0.6250 0.2500
Ru: 0.3750 0.3897 0.7500
P: 0.5000 0.5000 0.0000
P: 0.2500 0.7500 0.5000
V: 0.0000 0.0000 0.0000
V: 0.7500 0.2500 0.5000

- Formation enthalpy at 0 K: 7.055 kcal/mol of atoms
- E: -7.964 eV per atom
- SG: I-42d, No. 122


KYO3: relaxed, PBE.

Lattice parameters (Å, degrees): 4.4234 4.4234 4.4234 90.00 90.00 90.00
Last column: magnetic moment on the atom in μB.
Element x y z (fractional)
Y: 0.0000 0.0000 0.0000  -0.04
O: 0.0000 0.5000 0.0000  0.61
O: 0.0000 0.0000 0.5000  0.59
O: 0.5000 0.0000 0.0000  0.49
K: 0.5000 0.5000 0.5000  -0.01

- E: -6.332 eV per atom
- Formation energy from raw total energies: -1.845 eV per atom
- SG: Pm-3m, No. 221


Ρ across the listed records, respectively: 6.350, 3.377 Mg/m³.